1.
First-principles (PBE) data for MnHgSbCl2 after structural relaxation, as listed in Alexandria.

Cell: 5.0567 5.0567 5.9634 Å, 90.00 90.00 90.00°
Closest atoms and distances in Å follow each position.
Element x y z (fractional)
Mn1 0.0000 0.0000 0.0000  2 Hg 2.98
Hg1 0.0000 0.0000 0.5000  4 Cl 2.53
Sb1 0.5000 0.5000 0.0000  4 Mn 3.58, 8 Cl 3.91
Cl1 0.0000 0.5000 0.5000  2 Hg 2.53
Cl2 0.5000 0.0000 0.5000  2 Hg 2.53

Results
Symmetry   P4/mmm
ΔE_f (raw)   0.51 eV/atom
Density   4.881 g/cm³
DFT total energy   -2.943 eV per atom



2.
First-principles (PBE) data for MnSiHg2Cl after structural relaxation, as listed in Alexandria.

Cell: 5.3155 5.3155 4.5267 Å, 90.00 90.00 90.00°
Closest atoms and distances in Å follow each position.
Element x y z (fractional)
Mn1 0.0000 0.0000 0.0000  2 Si 2.26
Si1 0.0000 0.0000 0.5000  2 Mn 2.26
Hg1 0.0000 0.5000 0.0000  2 Mn 2.66
Hg2 0.5000 0.0000 0.0000  2 Mn 2.66
Cl1 0.5000 0.5000 0.5000  8 Hg 3.49, 4 Si 3.76

Results
Symmetry   P4/mmm
ΔE_f (raw)   0.30 eV/atom
Density   6.747 g/cm³
DFT total energy   -3.104 eV per atom



3.
First-principles (PBE) data for Mn2SnHgCl8 after structural relaxation, as listed in Alexandria.

Cell: 6.1644 7.8251 6.4639 Å, 90.00 90.44 90.00°
Closest atoms and distances in Å follow each position.
Element x y z (fractional)
Mn1 0.0000 0.2439 0.0000  6 Cl 2.54-2.58
Mn2 0.0000 0.7561 0.0000  6 Cl 2.54-2.58
Sn1 0.5000 0.5000 0.5000  6 Cl 2.81-2.89
Hg1 0.5000 0.0000 0.5000  6 Cl 2.69-2.84
Cl1 0.2091 0.5000 0.8486  2 Mn 2.58
Cl2 0.2176 0.0000 0.8454  2 Mn 2.54, 1 Hg 2.84
Cl3 0.2506 0.2393 0.3170  1 Mn 2.56, 1 Hg 2.69, 1 Sn 2.81
Cl4 0.2506 0.7607 0.3170  1 Mn 2.56, 1 Hg 2.69, 1 Sn 2.81
Cl5 0.7494 0.2393 0.6830  1 Mn 2.56, 1 Hg 2.69, 1 Sn 2.81
Cl6 0.7494 0.7607 0.6830  1 Mn 2.56, 1 Hg 2.69, 1 Sn 2.81
Cl7 0.7824 0.0000 0.1546  2 Mn 2.54, 1 Hg 2.84
Cl8 0.7909 0.5000 0.1514  2 Mn 2.58

Results
Symmetry   P2/m
ΔE_f (raw)   -0.89 eV/atom
Density   3.796 g/cm³
DFT total energy   -4.010 eV per atom



4.
First-principles (PBE) data for MnTlHg2Cl8 after structural relaxation, as listed in Alexandria.

Cell: 6.5101 7.1995 8.9581 Å, 111.37 95.49 97.78°
Closest atoms and distances in Å follow each position.
Element x y z (fractional)
Mn1 0.0000 0.0000 0.0000  4 Cl 2.25-2.34
Tl1 0.0000 0.0000 0.5000  6 Cl 3.25-3.34
Hg1 0.4908 0.7046 0.7099  4 Cl 2.52-2.76
Hg2 0.5092 0.2954 0.2901  4 Cl 2.52-2.76
Cl1 0.1180 0.7568 0.7292  1 Hg 2.52, 1 Mn 2.68
Cl2 0.1995 0.8848 0.1545  1 Mn 2.25
Cl3 0.2763 0.2640 0.0343  1 Mn 2.34, 1 Hg 2.54
Cl4 0.4558 0.2886 0.5665  2 Hg 2.55-2.76
Cl5 0.5442 0.7114 0.4335  2 Hg 2.55-2.76
Cl6 0.7237 0.7360 0.9657  1 Mn 2.34, 1 Hg 2.54
Cl7 0.8005 0.1152 0.8455  1 Mn 2.25
Cl8 0.8820 0.2432 0.2708  1 Hg 2.52, 1 Mn 2.68

Results
Symmetry   P-1
ΔE_f (raw)   -0.78 eV/atom
Density   4.098 g/cm³
DFT total energy   -3.022 eV per atom



5.
First-principles (PBE) data for MnTlHgCl5 after structural relaxation, as listed in Alexandria.

Cell: 7.6214 7.6214 9.3860 Å, 102.75 102.75 107.70°
Closest atoms and distances in Å follow each position.
Element x y z (fractional)
Mn1 0.1848 0.8152 0.7500  4 Cl 2.35-2.36
Mn2 0.8152 0.1848 0.2500  4 Cl 2.35-2.36
Tl1 0.1499 0.8501 0.2500  7 Cl 3.27-3.63
Tl2 0.8501 0.1499 0.7500  7 Cl 3.27-3.63
Hg1 0.5000 0.5000 0.0000  4 Cl 2.56-2.81
Hg2 0.5000 0.5000 0.5000  4 Cl 2.56-2.81
Cl1 0.1082 0.2460 0.4372  1 Mn 2.36
Cl2 0.1758 0.5900 0.8863  1 Mn 2.35
Cl3 0.2460 0.1082 0.9372  1 Mn 2.36
Cl4 0.4100 0.8242 0.6137  1 Mn 2.35
Cl5 0.4171 0.5829 0.2500  2 Hg 2.56
Cl6 0.5829 0.4171 0.7500  2 Hg 2.56
Cl7 0.5900 0.1758 0.3863  1 Mn 2.35
Cl8 0.7540 0.8918 0.0628  1 Mn 2.36
Cl9 0.8242 0.4100 0.1137  1 Mn 2.35
Cl10 0.8918 0.7540 0.5628  1 Mn 2.36

Results
Symmetry   C2/c
ΔE_f (raw)   -0.88 eV/atom
Density   4.393 g/cm³
DFT total energy   -3.511 eV per atom



6.
First-principles (PBE) data for MnTlHgCl6 after structural relaxation, as listed in Alexandria.

Cell: 6.4948 6.7907 6.8923 Å, 90.93 94.46 113.26°
Closest atoms and distances in Å follow each position.
Element x y z (fractional)
Mn1 0.0000 0.0000 0.0000  4 Cl 2.26-2.36
Tl1 0.3500 0.6877 0.4799  6 Cl 3.17-3.42
Hg1 0.6659 0.3821 0.9860  3 Cl 2.44-2.64
Cl1 0.0377 0.7343 0.8222  1 Mn 2.27
Cl2 0.3123 0.0601 0.2058  1 Mn 2.27
Cl3 0.3407 0.3095 0.7519  1 Hg 2.44
Cl4 0.7404 0.7228 0.2161  1 Mn 2.56, 1 Hg 2.64
Cl5 0.7424 0.0216 0.7701  1 Mn 2.26
Cl6 0.9657 0.2850 0.1757  1 Mn 2.36, 1 Hg 2.57

Results
Symmetry   P1
ΔE_f (raw)   -0.85 eV/atom
Density   4.017 g/cm³
DFT total energy   -3.398 eV per atom



7.
First-principles (PBE) data for Mn2TlHgCl8 after structural relaxation, as listed in Alexandria.

Cell: 6.5013 6.5532 9.2426 Å, 73.76 76.96 72.47°
Closest atoms and distances in Å follow each position.
Element x y z (fractional)
Mn1 0.0729 0.0689 0.2928  5 Cl 2.30-2.48
Mn2 0.9271 0.9311 0.7072  5 Cl 2.30-2.48
Tl1 0.5000 0.5000 0.5000  6 Cl 3.21-3.57
Hg1 0.5000 0.5000 0.0000  2 Cl 2.46
Cl1 0.1568 0.6012 0.8049  1 Mn 2.30
Cl2 0.2038 0.7269 0.2340  1 Mn 2.32
Cl3 0.2170 0.0515 0.5241  2 Mn 2.40-2.48
Cl4 0.4059 0.1546 0.1428  1 Mn 2.42, 1 Hg 2.46
Cl5 0.5941 0.8454 0.8572  1 Mn 2.42, 1 Hg 2.46
Cl6 0.7830 0.9485 0.4759  2 Mn 2.40-2.48
Cl7 0.7962 0.2731 0.7660  1 Mn 2.32
Cl8 0.8432 0.3988 0.1951  1 Mn 2.30

Results
Symmetry   P-1
ΔE_f (raw)   -0.87 eV/atom
Density   3.723 g/cm³
DFT total energy   -3.852 eV per atom



8.
First-principles (PBE) data for MnVHgCl6 after structural relaxation, as listed in Alexandria.

Cell: 6.1888 6.1888 8.8762 Å, 90.45 90.45 119.93°
Closest atoms and distances in Å follow each position.
Element x y z (fractional)
Mn1 0.0000 0.0000 0.0000  6 Cl 2.44-2.45
V1 0.6664 0.3336 0.0000  6 Cl 2.35-2.36
Hg1 0.3235 0.6765 0.5000  6 Cl 3.77-3.88
Cl1 0.3414 0.3082 0.8472  1 V 2.35, 1 Mn 2.45
Cl2 0.3475 0.0364 0.1518  1 V 2.36, 1 Mn 2.44
Cl3 0.6856 0.0293 0.8480  1 V 2.36, 1 Mn 2.44
Cl4 0.6918 0.6586 0.1528  1 V 2.35, 1 Mn 2.45
Cl5 0.9636 0.6525 0.8482  1 V 2.36, 1 Mn 2.44
Cl6 0.9707 0.3144 0.1520  1 V 2.36, 1 Mn 2.44

Results
Symmetry   C2
ΔE_f (raw)   -0.97 eV/atom
Density   2.927 g/cm³
DFT total energy   -4.268 eV per atom



9.
First-principles (PBE) data for MnVHgCl2 after structural relaxation, as listed in Alexandria.

Cell: 4.6648 4.6648 5.9154 Å, 90.00 90.00 90.00°
Closest atoms and distances in Å follow each position.
Element x y z (fractional)
Mn1 0.0000 0.0000 0.0000  4 Hg 3.30
V1 0.5000 0.5000 0.5000  4 Cl 2.33
Hg1 0.5000 0.5000 0.0000  2 V 2.96, 4 Mn 3.30
Cl1 0.0000 0.5000 0.5000  2 V 2.33
Cl2 0.5000 0.0000 0.5000  2 V 2.33

Results
Symmetry   P4/mmm
ΔE_f (raw)   0.06 eV/atom
Density   4.868 g/cm³
DFT total energy   -4.394 eV per atom



10.
First-principles (PBE) data for Mn2ZnHgCl after structural relaxation, as listed in Alexandria.

Cell: 5.2010 5.2010 5.8072 Å, 90.00 90.00 90.00°
Closest atoms and distances in Å follow each position.
Element x y z (fractional)
Mn1 0.0000 0.5000 0.0000  2 Hg 2.60
Mn2 0.5000 0.0000 0.0000  2 Hg 2.60
Zn1 0.0000 0.0000 0.5000  4 Cl 3.68, 8 Mn 3.90
Hg1 0.5000 0.5000 0.0000  4 Mn 2.60, 2 Cl 2.90
Cl1 0.5000 0.5000 0.5000  2 Hg 2.90

Results
Symmetry   P4/mmm
ΔE_f (raw)   0.84 eV/atom
Density   4.348 g/cm³
DFT total energy   -3.515 eV per atom



11.
First-principles (PBE) data for HgMoCl2 after structural relaxation, as listed in Alexandria.

Cell: 7.0533 7.0533 7.0533 Å, 90.00 90.00 90.00°
Closest atoms and distances in Å follow each position.
Element x y z (fractional)
Hg1 0.0000 0.0000 0.0000  4 Cl 3.05, 4 Mo 3.05
Hg2 0.0000 0.5000 0.5000  4 Cl 3.05, 4 Mo 3.05
Hg3 0.5000 0.0000 0.5000  4 Cl 3.05, 4 Mo 3.05
Hg4 0.5000 0.5000 0.0000  4 Cl 3.05, 4 Mo 3.05
Mo1 0.2500 0.2500 0.7500  4 Hg 3.05, 4 Cl 3.05
Mo2 0.2500 0.7500 0.2500  4 Hg 3.05, 4 Cl 3.05
Mo3 0.7500 0.2500 0.2500  4 Hg 3.05, 4 Cl 3.05
Mo4 0.7500 0.7500 0.7500  4 Hg 3.05, 4 Cl 3.05
Cl1 0.0000 0.0000 0.5000  4 Cl 3.05, 4 Mo 3.05
Cl2 0.0000 0.5000 0.0000  4 Cl 3.05, 4 Mo 3.05
Cl3 0.2500 0.2500 0.2500  4 Cl 3.05, 4 Hg 3.05
Cl4 0.2500 0.7500 0.7500  4 Hg 3.05, 4 Cl 3.05
Cl5 0.5000 0.0000 0.0000  4 Cl 3.05, 4 Mo 3.05
Cl6 0.5000 0.5000 0.5000  4 Cl 3.05, 4 Mo 3.05
Cl7 0.7500 0.2500 0.7500  4 Hg 3.05, 4 Cl 3.05
Cl8 0.7500 0.7500 0.2500  4 Hg 3.05, 4 Cl 3.05

Results
Symmetry   F-43m
ΔE_f (raw)   0.53 eV/atom
ΔE to the lowest computed polymorph   837.8 meV/atom
Density   6.955 g/cm³
DFT total energy   -3.175 eV per atom



12.
First-principles (PBE) data for HgMo2Cl after structural relaxation, as listed in Alexandria.

Cell: 3.2466 5.0656 9.6300 Å, 90.00 90.00 90.00°
Closest atoms and distances in Å follow each position.
Element x y z (fractional)
Hg1 0.0000 0.0000 0.0000  2 Mo 3.00, 6 Hg 3.01-3.25
Hg2 0.5000 0.5000 0.0000  2 Mo 3.00, 6 Hg 3.01-3.25
Mo1 0.0000 0.0000 0.4587  2 Mo 2.49, 2 Cl 2.59
Mo2 0.0000 0.5000 0.2621  2 Mo 2.49
Mo3 0.5000 0.0000 0.2621  2 Mo 2.49
Mo4 0.5000 0.5000 0.4587  2 Mo 2.49, 2 Cl 2.59
Cl1 0.0000 0.5000 0.6684  2 Mo 2.59
Cl2 0.5000 0.0000 0.6684  2 Mo 2.59

Results
Symmetry   Cmm2
ΔE_f (raw)   0.24 eV/atom
ΔE to the lowest computed polymorph   163.7 meV/atom
Density   8.973 g/cm³
DFT total energy   -5.712 eV per atom



What did the tenth record say?
First-principles (PBE) data for Mn2ZnHgCl after structural relaxation, as listed in Alexandria.

Cell: 5.2010 5.2010 5.8072 Å, 90.00 90.00 90.00°
Closest atoms and distances in Å follow each position.
Element x y z (fractional)
Mn1 0.0000 0.5000 0.0000  2 Hg 2.60
Mn2 0.5000 0.0000 0.0000  2 Hg 2.60
Zn1 0.0000 0.0000 0.5000  4 Cl 3.68, 8 Mn 3.90
Hg1 0.5000 0.5000 0.0000  4 Mn 2.60, 2 Cl 2.90
Cl1 0.5000 0.5000 0.5000  2 Hg 2.90

Results
Symmetry   P4/mmm
ΔE_f (raw)   0.84 eV/atom
Density   4.348 g/cm³
DFT total energy   -3.515 eV per atom



Copy entry 7 word for word.
First-principles (PBE) data for Mn2TlHgCl8 after structural relaxation, as listed in Alexandria.

Cell: 6.5013 6.5532 9.2426 Å, 73.76 76.96 72.47°
Closest atoms and distances in Å follow each position.
Element x y z (fractional)
Mn1 0.0729 0.0689 0.2928  5 Cl 2.30-2.48
Mn2 0.9271 0.9311 0.7072  5 Cl 2.30-2.48
Tl1 0.5000 0.5000 0.5000  6 Cl 3.21-3.57
Hg1 0.5000 0.5000 0.0000  2 Cl 2.46
Cl1 0.1568 0.6012 0.8049  1 Mn 2.30
Cl2 0.2038 0.7269 0.2340  1 Mn 2.32
Cl3 0.2170 0.0515 0.5241  2 Mn 2.40-2.48
Cl4 0.4059 0.1546 0.1428  1 Mn 2.42, 1 Hg 2.46
Cl5 0.5941 0.8454 0.8572  1 Mn 2.42, 1 Hg 2.46
Cl6 0.7830 0.9485 0.4759  2 Mn 2.40-2.48
Cl7 0.7962 0.2731 0.7660  1 Mn 2.32
Cl8 0.8432 0.3988 0.1951  1 Mn 2.30

Results
Symmetry   P-1
ΔE_f (raw)   -0.87 eV/atom
Density   3.723 g/cm³
DFT total energy   -3.852 eV per atom



Q: Which of these has the lowest density?
A: MnVHgCl6